(1)
Computed, not measured: MnAlCo3 after structural relaxation at the PBE level of DFT.

abc: 4.144 4.144 4.144
angles: 90.00 90.00 90.00
Last column: magnetic moment on the atom in μB.
Atoms (fractional coordinates):
Mn  0.000  0.000  0.000  0.17
Co  0.000  0.500  0.000  0.21
Co  0.000  0.000  0.500  0.15
Co  0.500  0.000  0.000  0.17
Al  0.500  0.500  0.500  0.01

=====

(2)
Computed, not measured: MnAlCo3 after structural relaxation at the PBE level of DFT.

abc: 4.171 4.171 4.171
angles: 90.00 90.00 90.00
Last column: magnetic moment on the atom in μB.
Atoms (fractional coordinates):
Mn  0.500  0.500  0.500  -0.39
Co  0.000  0.500  0.000  1.28
Co  0.000  0.000  0.500  1.34
Co  0.500  0.000  0.000  1.25
Al  0.000  0.000  0.000  -0.06

=====

Most stable structure: (1)

=====

(1)
Computed, not measured: Mn2Al2Co after structural relaxation at the PBE level of DFT.

abc: 7.241 7.241 7.241
angles: 155.36 155.36 35.13
Last column: magnetic moment on the atom in μB.
Atoms (fractional coordinates):
Mn  0.250  0.750  0.500  -0.09
Mn  0.750  0.250  0.500  -0.09
Al  0.597  0.597  0.000  0.00
Al  0.403  0.403  0.000  0.00
Co  0.000  0.000  0.000  0.34

=====

(2)
Computed, not measured: Mn2Al2Co after structural relaxation at the PBE level of DFT.

abc: 5.872 5.872 3.866
angles: 90.00 90.00 90.00
Last column: magnetic moment on the atom in μB.
Atoms (fractional coordinates):
Mn  0.369  0.869  0.000  1.42
Mn  0.869  0.631  0.000  1.42
Mn  0.631  0.131  0.000  1.42
Mn  0.131  0.369  0.000  1.42
Co  0.000  0.000  0.000  1.38
Co  0.500  0.500  0.000  1.38
Al  0.173  0.673  0.500  -0.03
Al  0.673  0.827  0.500  -0.03
Al  0.827  0.327  0.500  -0.03
Al  0.327  0.173  0.500  -0.03

=====

(3)
Computed, not measured: Mn2Al2Co after structural relaxation at the PBE level of DFT.

abc: 4.529 4.529 4.709
angles: 61.25 61.25 90.00
Last column: magnetic moment on the atom in μB.
Atoms (fractional coordinates):
Mn  0.356  0.356  0.289  0.55
Mn  0.644  0.644  0.711  0.55
Co  0.000  0.000  0.000  1.42
Al  0.750  0.250  0.500  -0.01
Al  0.250  0.750  0.500  -0.01

=====

Most stable structure: (2)

=====

(1)
Computed, not measured: MnAl2Co2 after structural relaxation at the PBE level of DFT.

abc: 6.750 6.750 2.642
angles: 90.00 90.00 90.00
Atoms (fractional coordinates):
Mn  0.000  0.000  0.000
Mn  0.500  0.500  0.000
Co  0.161  0.661  0.500
Co  0.661  0.839  0.500
Co  0.839  0.339  0.500
Co  0.339  0.161  0.500
Al  0.362  0.862  0.000
Al  0.862  0.638  0.000
Al  0.638  0.138  0.000
Al  0.138  0.362  0.000

=====

(2)
Computed, not measured: MnAl2Co2 after structural relaxation at the PBE level of DFT.

abc: 6.752 6.752 2.666
angles: 90.00 90.00 90.00
Atoms (fractional coordinates):
Mn  0.000  0.000  0.000
Mn  0.500  0.500  0.000
Co  0.372  0.872  0.000
Co  0.872  0.628  0.000
Co  0.628  0.128  0.000
Co  0.128  0.372  0.000
Al  0.170  0.670  0.500
Al  0.670  0.830  0.500
Al  0.830  0.330  0.500
Al  0.330  0.170  0.500

=====

Most stable structure: (1)

=====

(1)
Computed, not measured: AlCoMo3 after structural relaxation at the PBE level of DFT.

abc: 4.472 4.472 4.472
angles: 90.00 90.00 90.00
Atoms (fractional coordinates):
Mo  0.000  0.500  0.000
Mo  0.000  0.000  0.500
Mo  0.500  0.000  0.000
Co  0.500  0.500  0.500
Al  0.000  0.000  0.000

=====

(2)
Computed, not measured: AlCoMo3 after structural relaxation at the PBE level of DFT.

abc: 4.450 4.450 4.450
angles: 90.00 90.00 90.00
Atoms (fractional coordinates):
Mo  0.000  0.500  0.000
Mo  0.000  0.000  0.500
Mo  0.500  0.000  0.000
Co  0.000  0.000  0.000
Al  0.500  0.500  0.500

=====

Most stable structure: (2)

=====

(1)
Computed, not measured: Al3CoN after structural relaxation at the PBE level of DFT.

abc: 4.441 4.441 4.441
angles: 90.00 90.00 90.00
Last column: magnetic moment on the atom in μB.
Atoms (fractional coordinates):
Co  0.000  0.000  0.000  0.36
Al  0.000  0.500  0.000  0.05
Al  0.000  0.000  0.500  0.03
Al  0.500  0.000  0.000  0.03
N  0.500  0.500  0.500  1.36

=====

(2)
Computed, not measured: Al3CoN after structural relaxation at the PBE level of DFT.

abc: 3.906 3.906 3.906
angles: 90.00 90.00 90.00
Atoms (fractional coordinates):
Co  0.500  0.500  0.500
Al  0.000  0.500  0.000
Al  0.000  0.000  0.500
Al  0.500  0.000  0.000
N  0.000  0.000  0.000

=====

Most stable structure: (2)

=====

(1)
Computed, not measured: AlCo2N after structural relaxation at the PBE level of DFT.

abc: 5.008 5.008 5.466
angles: 62.74 62.74 90.00
Atoms (fractional coordinates):
Co  0.513  0.125  0.250
Co  0.237  0.625  0.250
Co  0.375  0.487  0.750
Co  0.875  0.763  0.750
Al  0.000  0.000  0.000
Al  0.750  0.250  0.500
N  0.500  0.500  0.000
N  0.250  0.750  0.500

=====

(2)
Computed, not measured: AlCo2N after structural relaxation at the PBE level of DFT.

abc: 3.900 3.900 3.900
angles: 60.00 60.00 60.00
Last column: magnetic moment on the atom in μB.
Atoms (fractional coordinates):
Co  0.250  0.250  0.250  1.27
Co  0.750  0.750  0.750  1.27
Al  0.500  0.500  0.500  -0.05
N  0.000  0.000  0.000  0.30

=====

Most stable structure: (1)